[1]
An optimized crystal structure of Ba8HPd3I4. Source: Alexandria via LeMat-Bulk, functional PBE-GGA.

**Space-group type**: R-3m (166)

Unit cell a=9.195 b=10.261 c=9.194 alpha=116.62 beta=120.00 gamma=90.00
Element x y z (fractional)
I 0.000 0.000 0.500
I 0.500 0.000 0.500
I 0.500 0.000 0.000
I 0.000 0.000 0.000
Ba 0.767 0.299 0.534
Ba 0.265 0.300 0.033
Ba 0.735 0.705 0.470
Ba 0.767 0.300 0.033
Ba 0.735 0.700 0.967
Ba 0.233 0.701 0.466
Ba 0.233 0.700 0.967
Ba 0.265 0.295 0.530
Pd 0.000 0.500 0.500
Pd 0.500 0.500 0.500
Pd 0.500 0.500 0.000
H 0.000 0.500 0.000

[2]
An optimized crystal structure of Ba6HPt2I3. Source: Alexandria via LeMat-Bulk, functional PBE-GGA.

**Space-group type**: C2/m (12)

Unit cell a=7.883 b=7.883 c=9.111 alpha=98.30 beta=98.30 gamma=119.97
Element x y z (fractional)
Ba 0.267 0.267 0.800
Ba 0.601 0.934 0.802
Ba 0.066 0.399 0.198
Ba 0.399 0.066 0.198
Ba 0.733 0.733 0.200
Ba 0.934 0.601 0.802
I 0.168 0.832 0.500
I 0.500 0.500 0.500
I 0.832 0.168 0.500
Pt 0.666 0.334 0.000
Pt 0.334 0.666 0.000
H 0.000 0.000 0.000

[3]
An optimized crystal structure of Ba8HPt3I4. Source: Alexandria via LeMat-Bulk, functional PBE-GGA.

**Space-group type**: R-3m (166)

Unit cell a=9.155 b=10.196 c=9.157 alpha=116.69 beta=119.99 gamma=90.00
Element x y z (fractional)
Ba 0.734 0.702 0.468
Ba 0.234 0.698 0.467
Ba 0.731 0.698 0.965
Ba 0.269 0.302 0.035
Ba 0.766 0.302 0.035
Ba 0.766 0.302 0.533
Ba 0.234 0.698 0.965
Ba 0.266 0.298 0.532
I 0.500 0.000 0.500
I 0.500 0.000 0.000
I 0.000 0.000 0.000
I 0.000 0.000 0.500
H 0.000 0.500 0.000
Pt 0.500 0.500 0.500
Pt 0.500 0.500 0.000
Pt 0.000 0.500 0.500

[4]
An optimized crystal structure of RbBaH2I. Source: Alexandria via LeMat-Bulk, functional PBE-GGA.

**Space-group type**: P4/mmm (123)

Unit cell a=5.209 b=5.209 c=7.011 alpha=90.00 beta=90.00 gamma=90.00
Element x y z (fractional)
Ba 0.000 0.000 0.000
Rb 0.500 0.500 0.500
I 0.000 0.000 0.500
H 0.000 0.500 0.000
H 0.500 0.000 0.000

| no. | raw total energy (eV per atom) | density (g cm⁻³) | magnetization (Bohr magnetons per cell) |
| --- | --- | --- | --- |
| 1 | -3.47 | 4.98 | 0.0 |
| 2 | -3.68 | 5.64 | 0.0 |
| 3 | -3.76 | 5.75 | 0.0 |
| 4 | -2.92 | 3.07 | 0.0 |